[1]
Compound: P2Pt
Source: the Open Quantum Materials Database
Functional: PBE
Structure: optimized geometry

Unit cell a=7.022 b=3.279 c=8.333 alpha=90.00 beta=90.00 gamma=90.00
Sites, in units of the cell vectors:
P: 0.543 0.250 0.151
P: 0.043 0.750 0.151
P: 0.543 0.750 0.349
P: 0.043 0.250 0.349
P: 0.957 0.750 0.651
P: 0.457 0.250 0.651
P: 0.957 0.250 0.849
P: 0.457 0.750 0.849
Pt: 0.250 0.250 0.000
Pt: 0.750 0.250 0.500
Pt: 0.250 0.750 0.500
Pt: 0.750 0.750 0.000

Output
* DFT total energy: -70.1 eV per cell

=====

[2]
Compound: TbNd2TeO6
Source: the Open Quantum Materials Database
Functional: PBE
Structure: optimized geometry

Unit cell a=6.081 b=5.948 c=10.220 alpha=90.00 beta=124.77 gamma=90.00
Last column: magnetic moment on the atom in μB.
Sites, in units of the cell vectors:
Nd: 0.724 0.441 0.235  0.03
Nd: 0.276 0.941 0.265  0.03
Nd: 0.724 0.059 0.735  0.03
Nd: 0.276 0.559 0.765  0.03
O: 0.372 0.664 0.039  0.05
O: 0.329 0.194 0.110  0.08
O: 0.111 0.541 0.249  0.02
O: 0.889 0.041 0.251  0.02
O: 0.671 0.694 0.390  0.08
O: 0.628 0.164 0.461  0.05
O: 0.372 0.836 0.539  0.05
O: 0.329 0.306 0.610  0.08
O: 0.111 0.959 0.749  0.02
O: 0.889 0.459 0.751  0.02
O: 0.671 0.806 0.890  0.08
O: 0.628 0.336 0.961  0.05
Tb: 0.500 0.000 0.000  0.03
Tb: 0.500 0.500 0.500  0.03
Te: 0.000 0.500 0.000  0.30
Te: 0.000 0.000 0.500  0.30

Output
* DFT total energy: -145.0 eV per cell

=====

[3]
Compound: LiHfTlPd
Source: the Open Quantum Materials Database
Functional: PBE
Structure: optimized geometry

Unit cell a=4.631 b=4.631 c=4.631 alpha=60.00 beta=60.00 gamma=60.00
Sites, in units of the cell vectors:
Hf: 0.000 0.000 0.000
Li: 0.750 0.750 0.750
Pd: 0.250 0.250 0.250
Tl: 0.500 0.500 0.500

Output
* DFT total energy: -20.8 eV per cell
* offset from the most stable computed form: 0.0 meV/atom

=====

[4]
Compound: BaGdBe
Source: the Open Quantum Materials Database
Functional: PBE
Structure: optimized geometry

Unit cell a=5.078 b=5.078 c=5.078 alpha=60.00 beta=60.00 gamma=60.00
Sites, in units of the cell vectors:
Ba: 0.000 0.000 0.000
Be: 0.250 0.250 0.250
Gd: 0.750 0.750 0.750

Output
* DFT total energy: -6.8 eV per cell
* offset from the most stable computed form: 553.4 meV/atom

=====

[5]
Compound: UGaNi
Source: the Open Quantum Materials Database
Functional: PBE
Structure: optimized geometry

Unit cell a=6.541 b=6.541 c=4.111 alpha=90.00 beta=90.00 gamma=120.00
Last column: magnetic moment on the atom in μB.
Sites, in units of the cell vectors:
Ga: 0.238 0.000 0.000  -0.02
Ga: 0.000 0.238 0.000  -0.02
Ga: 0.762 0.762 0.000  -0.02
Ni: 0.667 0.333 0.000  -0.11
Ni: 0.333 0.667 0.000  -0.11
Ni: 0.000 0.000 0.500  -0.03
U: 0.570 0.000 0.500  1.78
U: 0.430 0.430 0.500  1.76
U: 0.000 0.570 0.500  1.87

Output
* DFT total energy: -62.3 eV per cell

=====

[6]
Compound: LaNdNi2Pb
Source: the Open Quantum Materials Database
Functional: PBE
Structure: optimized geometry

Unit cell a=3.829 b=7.597 c=7.597 alpha=31.53 beta=90.00 gamma=90.00
Sites, in units of the cell vectors:
La: 0.500 0.639 0.639
Nd: 0.500 0.361 0.361
Ni: 0.000 0.203 0.203
Ni: 0.000 0.798 0.798
Pb: 0.000 0.999 0.999

Output
* DFT total energy: -26.8 eV per cell

=====

[7]
Compound: HfTlAuSe3
Source: the Open Quantum Materials Database
Functional: PBE
Structure: optimized geometry

Unit cell a=14.608 b=3.907 c=10.590 alpha=90.00 beta=90.00 gamma=90.00
Sites, in units of the cell vectors:
Au: 0.479 0.250 0.097
Au: 0.979 0.250 0.403
Au: 0.021 0.750 0.597
Au: 0.521 0.750 0.903
Hf: 0.986 0.750 0.174
Hf: 0.486 0.750 0.326
Hf: 0.514 0.250 0.674
Hf: 0.014 0.250 0.826
Se: 0.089 0.250 0.066
Se: 0.607 0.750 0.142
Se: 0.860 0.250 0.223
Se: 0.360 0.250 0.277
Se: 0.107 0.750 0.358
Se: 0.589 0.250 0.434
Se: 0.411 0.750 0.566
Se: 0.893 0.250 0.642
Se: 0.640 0.750 0.723
Se: 0.140 0.750 0.777
Se: 0.393 0.250 0.858
Se: 0.911 0.750 0.934
Tl: 0.271 0.750 0.047
Tl: 0.771 0.750 0.453
Tl: 0.229 0.250 0.547
Tl: 0.729 0.250 0.953

Output
* DFT total energy: -122.7 eV per cell
* offset from the most stable computed form: 2.9 meV/atom

=====

[8]
Compound: GdGeH2O4
Source: the Open Quantum Materials Database
Functional: PBE
Structure: optimized geometry

Unit cell a=6.926 b=6.220 c=4.977 alpha=90.00 beta=121.92 gamma=90.00
Sites, in units of the cell vectors:
Gd: 0.179 0.250 0.128
Gd: 0.821 0.750 0.872
Ge: 0.712 0.250 0.407
Ge: 0.288 0.750 0.593
H: 0.512 0.750 0.180
H: 0.000 0.000 0.500
H: 0.000 0.500 0.500
H: 0.488 0.250 0.820
O: 0.562 0.750 0.018
O: 0.066 0.525 0.322
O: 0.066 0.975 0.322
O: 0.467 0.750 0.437
O: 0.533 0.250 0.563
O: 0.934 0.025 0.678
O: 0.934 0.475 0.678
O: 0.438 0.250 0.982

Output
* DFT total energy: -99.7 eV per cell
* offset from the most stable computed form: 26.2 meV/atom

=====

- Among the records above, which one has the lowest DFT total energy?
  TbNd2TeO6

=====

What did the second record say?
Compound: TbNd2TeO6
Source: the Open Quantum Materials Database
Functional: PBE
Structure: optimized geometry

Unit cell a=6.081 b=5.948 c=10.220 alpha=90.00 beta=124.77 gamma=90.00
Last column: magnetic moment on the atom in μB.
Sites, in units of the cell vectors:
Nd: 0.724 0.441 0.235  0.03
Nd: 0.276 0.941 0.265  0.03
Nd: 0.724 0.059 0.735  0.03
Nd: 0.276 0.559 0.765  0.03
O: 0.372 0.664 0.039  0.05
O: 0.329 0.194 0.110  0.08
O: 0.111 0.541 0.249  0.02
O: 0.889 0.041 0.251  0.02
O: 0.671 0.694 0.390  0.08
O: 0.628 0.164 0.461  0.05
O: 0.372 0.836 0.539  0.05
O: 0.329 0.306 0.610  0.08
O: 0.111 0.959 0.749  0.02
O: 0.889 0.459 0.751  0.02
O: 0.671 0.806 0.890  0.08
O: 0.628 0.336 0.961  0.05
Tb: 0.500 0.000 0.000  0.03
Tb: 0.500 0.500 0.500  0.03
Te: 0.000 0.500 0.000  0.30
Te: 0.000 0.000 0.500  0.30

Output
* DFT total energy: -145.0 eV per cell

=====

- The highest DFT total energy belongs to which entry?
  BaGdBe

=====

- What is the formula in the fourth record?
  BaGdBe